This record from Alexandria describes a relaxed Pa3RePb3N8 crystal. The functional is GGA-PBE.

Properties
N(E_F) in states/eV/f.u.: 2.96
Calculated volume in Å³/cell: 295.19
SG: P-1 (2)
E_form (uncorrected) in eV/atom: -0.56

Unit cell a=6.8654 b=6.8766 c=8.1387 alpha=112.72 beta=91.90 gamma=119.79
Sites, in units of the cell vectors:
Pa (0.0000, 0.0000, 0.0000)
Pa (0.0000, 0.5000, 0.0000)
Pa (0.5000, 0.0000, 0.0000)
Re (0.5000, 0.5000, 0.0000)
Pb (0.0000, 0.0000, 0.5000)
Pb (0.0000, 0.5000, 0.5000)
Pb (0.5000, 0.5000, 0.5000)
N (0.1183, 0.7460, 0.8622)
N (0.1485, 0.2553, 0.8585)
N (0.3943, 0.7331, 0.1289)
N (0.3954, 0.2887, 0.1423)
N (0.6046, 0.7113, 0.8577)
N (0.6057, 0.2669, 0.8711)
N (0.8515, 0.7447, 0.1415)
N (0.8817, 0.2540, 0.1378)


This record from Alexandria describes a relaxed SrCoCuPt2 crystal. The functional is GGA-PBE.

Properties
N(E_F) in states/eV/f.u.: 3.50
Calculated volume in Å³/cell: 111.85
Energy relative to the elements in eV per atom: 0.59
SG: P4/mmm (123)

Unit cell a=4.6378 b=4.6378 c=5.1999 alpha=90.00 beta=90.00 gamma=90.00
Sites, in units of the cell vectors:
Sr (0.0000, 0.0000, 0.0000)
Co (0.0000, 0.0000, 0.5000)
Cu (0.5000, 0.5000, 0.0000)
Pt (0.0000, 0.5000, 0.5000)
Pt (0.5000, 0.0000, 0.5000)


This record from Alexandria describes a relaxed Na3Y3UTe8 crystal. The functional is GGA-PBE.

Properties
N(E_F) in states/eV/f.u.: 5.06
Calculated volume in Å³/cell: 512.52
SG: R-3m (166)
E_form (uncorrected) in eV/atom: -1.18

Unit cell a=9.1522 b=9.1522 c=9.1522 alpha=57.63 beta=57.63 gamma=57.63
Sites, in units of the cell vectors:
Na (0.0000, 0.5000, 0.5000)
Na (0.5000, 0.0000, 0.5000)
Na (0.5000, 0.5000, 0.0000)
Y (0.0000, 0.0000, 0.5000)
Y (0.0000, 0.5000, 0.0000)
Y (0.5000, 0.0000, 0.0000)
U (0.5000, 0.5000, 0.5000)
Te (0.2432, 0.7433, 0.7433)
Te (0.2445, 0.2445, 0.2445)
Te (0.2567, 0.2567, 0.7568)
Te (0.2567, 0.7568, 0.2567)
Te (0.7433, 0.2432, 0.7433)
Te (0.7433, 0.7433, 0.2432)
Te (0.7555, 0.7555, 0.7555)
Te (0.7568, 0.2567, 0.2567)


This record from Alexandria describes a relaxed NaTl3 crystal. The functional is GGA-PBE.

Properties
N(E_F) in states/eV/f.u.: 2.13
Calculated volume in Å³/cell: 116.65
Energy relative to the elements in eV per atom: -0.07
SG: I4/mmm (139)

Unit cell a=6.0770 b=6.0770 c=6.0770 alpha=133.34 beta=133.34 gamma=68.13
Sites, in units of the cell vectors:
Na (0.0000, 0.0000, 0.0000)
Tl (0.2500, 0.7500, 0.5000)
Tl (0.5000, 0.5000, 0.0000)
Tl (0.7500, 0.2500, 0.5000)


This record from Alexandria describes a relaxed TbPr4Sm4 crystal. The functional is GGA-PBE.

Properties
N(E_F) in states/eV/f.u.: 13.63
Calculated volume in Å³/cell: 311.73
Energy relative to the elements in eV per atom: 0.01
SG: I4/mmm (139)

Unit cell a=8.1841 b=8.1841 c=8.1841 alpha=95.73 beta=95.73 gamma=143.18
Sites, in units of the cell vectors:
Tb (0.0000, 0.0000, 0.0000)
Pr (0.3337, 0.3337, 0.6675)
Pr (0.3337, 0.6663, 0.0000)
Pr (0.6663, 0.3337, 0.0000)
Pr (0.6663, 0.6663, 0.3325)
Sm (0.0000, 0.3340, 0.3340)
Sm (0.0000, 0.6660, 0.6660)
Sm (0.3340, 0.0000, 0.3340)
Sm (0.6660, 0.0000, 0.6660)


This record from Alexandria describes a relaxed HgPd4Au8 crystal. The functional is GGA-PBE.

Properties
N(E_F) in states/eV/f.u.: 4.11
Calculated volume in Å³/cell: 237.95
Energy relative to the elements in eV per atom: -0.04
SG: Pm (6)

Unit cell a=4.8043 b=3.0151 c=16.4797 alpha=90.00 beta=94.60 gamma=90.00
Sites, in units of the cell vectors:
Hg (0.0000, 0.0000, 0.0000)
Pd (0.3066, 0.5000, 0.7223)
Pd (0.4410, 0.0000, 0.4362)
Pd (0.7868, 0.0000, 0.2900)
Pd (0.9702, 0.5000, 0.8598)
Au (0.1247, 0.0000, 0.5793)
Au (0.2913, 0.5000, 0.2951)
Au (0.3911, 0.0000, 0.1468)
Au (0.4715, 0.0000, 0.8683)
Au (0.6213, 0.5000, 0.5770)
Au (0.8042, 0.0000, 0.7215)
Au (0.8869, 0.5000, 0.1463)
Au (0.9378, 0.5000, 0.4325)


This record from Alexandria describes a relaxed KLa2HgSe4 crystal. The functional is GGA-PBE.

Properties
N(E_F) in states/eV/f.u.: 3.17
Calculated volume in Å³/cell: 502.42
SG: Cmcm (63)
E_form (uncorrected) in eV/atom: -1.43

Unit cell a=7.6577 b=7.6577 c=15.2632 alpha=90.00 beta=90.00 gamma=145.85
Sites, in units of the cell vectors:
K (0.1258, 0.8742, 0.7500)
K (0.8742, 0.1258, 0.2500)
La (0.3723, 0.6277, 0.5619)
La (0.3723, 0.6277, 0.9381)
La (0.6277, 0.3723, 0.0619)
La (0.6277, 0.3723, 0.4381)
Hg (0.1479, 0.8521, 0.2500)
Hg (0.8521, 0.1479, 0.7500)
Se (0.0000, 0.0000, 0.0000)
Se (0.0000, 0.0000, 0.5000)
Se (0.2651, 0.7349, 0.1062)
Se (0.2651, 0.7349, 0.3938)
Se (0.4558, 0.5442, 0.7500)
Se (0.5442, 0.4558, 0.2500)
Se (0.7349, 0.2651, 0.6062)
Se (0.7349, 0.2651, 0.8938)


This record from Alexandria describes a relaxed SrGeAs2 crystal. The functional is GGA-PBE.

Properties
N(E_F) in states/eV/f.u.: 2.14
Calculated volume in Å³/cell: 100.28
Energy relative to the elements in eV per atom: -0.28
SG: R-3m (166)

Unit cell a=7.7142 b=7.7142 c=7.7142 alpha=29.78 beta=29.78 gamma=29.78
Sites, in units of the cell vectors:
Sr (0.0000, 0.0000, 0.0000)
Ge (0.5000, 0.5000, 0.5000)
As (0.2329, 0.2329, 0.2329)
As (0.7671, 0.7671, 0.7671)


This record from Alexandria describes a relaxed ZnGaTeN2 crystal. The functional is GGA-PBE.

Properties
Distance to the lowest polymorph of the same formula in eV/atom: 0.000
N(E_F) in states/eV/f.u.: 3.29
Calculated volume in Å³/cell: 95.17
SG: P4/mmm (123)
E_form (uncorrected) in eV/atom: 1.14

Unit cell a=3.9328 b=3.9328 c=6.1533 alpha=90.00 beta=90.00 gamma=90.00
Sites, in units of the cell vectors:
Zn (0.0000, 0.0000, 0.0000)
Ga (0.5000, 0.5000, 0.5000)
Te (0.5000, 0.5000, 0.0000)
N (0.0000, 0.5000, 0.5000)
N (0.5000, 0.0000, 0.5000)


This record from Alexandria describes a relaxed Ti5NbAl2 crystal. The functional is GGA-PBE.

Properties
N(E_F) in states/eV/f.u.: 10.37
Calculated volume in Å³/cell: 135.43
Energy relative to the elements in eV per atom: -0.20
SG: I4/mmm (139)

Unit cell a=7.0684 b=7.0684 c=7.0684 alpha=141.57 beta=141.57 gamma=55.48
Sites, in units of the cell vectors:
Ti (0.0000, 0.0000, 0.0000)
Ti (0.1234, 0.6234, 0.5000)
Ti (0.3766, 0.8766, 0.5000)
Ti (0.6234, 0.1234, 0.5000)
Ti (0.8766, 0.3766, 0.5000)
Nb (0.5000, 0.5000, 0.0000)
Al (0.2500, 0.2500, 0.0000)
Al (0.7500, 0.7500, 0.0000)


This record from Alexandria describes a relaxed La5Ru crystal. The functional is GGA-PBE.

Properties
Distance to the lowest polymorph of the same formula in eV/atom: 0.000
N(E_F) in states/eV/f.u.: 6.33
Calculated volume in Å³/cell: 193.49
Energy relative to the elements in eV per atom: -0.09
SG: C2/m (12)

Unit cell a=6.4546 b=6.4546 c=8.4234 alpha=105.71 beta=105.71 gamma=35.10
Sites, in units of the cell vectors:
La (0.0000, 0.0000, 0.0000)
La (0.3212, 0.3212, 0.1794)
La (0.3809, 0.3809, 0.6151)
La (0.6191, 0.6191, 0.3849)
La (0.6788, 0.6788, 0.8206)
Ru (0.0000, 0.0000, 0.5000)


This record from Alexandria describes a relaxed BaHOs2O8 crystal. The functional is GGA-PBE.

Properties
N(E_F) in states/eV/f.u.: 6.02
Calculated volume in Å³/cell: 182.07
Total energy in eV/atom: -6.635
SG: C2/m (12)

Unit cell a=6.1832 b=6.1832 c=6.9922 alpha=112.13 beta=112.13 gamma=48.40
Sites, in units of the cell vectors:
Ba (0.0000, 0.0000, 0.0000)
H (0.5000, 0.5000, 0.5000)
Os (0.1920, 0.1920, 0.6617)
Os (0.8080, 0.8080, 0.3383)
O (0.1690, 0.6385, 0.3113)
O (0.1796, 0.1796, 0.3968)
O (0.3535, 0.3535, 0.8606)
O (0.3615, 0.8310, 0.6887)
O (0.6385, 0.1690, 0.3113)
O (0.6465, 0.6465, 0.1394)
O (0.8204, 0.8204, 0.6032)
O (0.8310, 0.3615, 0.6887)